PBE Sr3Hg2N, relaxed; raw formation energy = -0.4548 eV/atom; distance to the lowest polymorph of the same formula = 0.22 eV per formula unit; symmetry = C2/c, No. 15
1.0
6.273 0.000 0.000
0.000 7.606 0.005
-3.137 -1.900 7.565
Sr Hg N
6 4 2
Cartesian
2.849 1.901 0.001 Sr
3.424 5.704 0.004 Sr
0.006 -0.003 1.705 Sr
3.143 1.906 5.863 Sr
-0.006 3.800 1.707 Sr
3.130 5.709 5.866 Sr
3.130 3.806 2.933 Hg
3.143 0.003 2.931 Hg
-0.006 5.703 4.640 Hg
0.006 1.900 4.637 Hg
5.862 5.704 0.004 N
0.411 1.901 0.001 N

PBE Ac2PmErO6, relaxed; raw formation energy = -3.4057 eV/atom; symmetry = P2_1/c, No. 14
1.0
-1.564 -4.674 3.547
0.750 -3.915 -4.828
8.406 -1.103 2.200
Ac Pm Er O
4 2 2 12
Cartesian
2.796 -4.075 -3.989 Ac
5.915 -5.383 0.833 Ac
4.796 -5.617 4.909 Ac
1.678 -4.309 0.086 Ac
-0.782 -2.337 1.774 Pm
4.578 -2.509 -1.314 Pm
3.421 -2.888 2.874 Er
0.375 -1.958 -2.414 Er
0.599 -4.177 -2.146 O
4.106 -7.512 0.176 O
6.993 -5.515 3.065 O
3.486 -2.180 0.743 O
3.677 -4.673 -1.346 O
7.168 -7.931 1.072 O
3.916 -5.019 2.265 O
0.424 -1.761 -0.153 O
1.096 -6.545 0.967 O
6.372 -6.282 -1.585 O
6.496 -3.148 -0.047 O
1.220 -3.410 2.504 O

PBE Ac3Nd2Sn3, relaxed; distance to the lowest polymorph of the same formula = 0.00 eV per formula unit; symmetry = P6_3/mcm, No. 193; energy of formation = -0.648 eV/atom
1.0
-2.278 -3.648 5.498
8.473 -4.720 0.378
-1.188 8.247 4.980
Ac Nd Sn
6 4 6
Cartesian
0.388 -3.904 4.217 Ac
3.774 -0.082 8.156 Ac
-2.002 -0.696 5.356 Ac
5.807 -4.464 1.659 Ac
1.233 -0.039 2.700 Ac
-1.464 5.294 5.122 Ac
2.032 3.924 3.446 Nd
4.114 -2.222 4.661 Nd
5.253 -0.398 1.912 Nd
0.893 2.100 6.195 Nd
3.387 -5.574 4.351 Sn
1.196 -1.330 6.259 Sn
-2.423 2.223 7.118 Sn
2.808 -2.794 1.525 Sn
3.811 1.209 4.596 Sn
-1.043 2.375 3.360 Sn

PBE KPr2DySe4, relaxed; raw formation energy = -1.7268 eV/atom; symmetry = P2/m, No. 10
1.0
-3.848 1.523 -0.856
-1.796 -0.499 7.187
1.794 6.417 3.356
K Pr Dy Se
1 2 1 4
Cartesian
-1.028 6.930 6.522 K
1.794 6.417 3.356 Pr
-1.027 3.970 1.250 Pr
-0.001 2.959 5.271 Dy
-0.038 4.332 7.883 Se
-3.811 3.110 1.805 Se
-2.781 2.089 5.787 Se
-1.069 5.353 3.900 Se

PBE TbCeMgPa, relaxed; symmetry = F-43m, No. 216; energy of formation = 0.313 eV/atom
1.0
5.360 0.000 0.000
2.680 4.642 0.000
2.680 1.547 4.376
Mg Pa Tb Ce
1 1 1 1
Cartesian
0.000 0.000 0.000 Mg
5.360 3.095 2.188 Pa
2.680 1.547 1.094 Tb
8.040 4.642 3.282 Ce

PBE EuIn2Ge4Ir4, relaxed; symmetry = I-42m, No. 121; energy of formation = -0.484 eV/atom
1.0
-4.023 -4.706 -2.357
3.450 0.935 -5.577
3.518 -1.588 5.384
Eu In Ge Ir
1 2 4 4
Cartesian
0.000 0.000 0.000 Eu
-0.252 -3.147 1.513 In
3.484 -0.326 -0.097 In
2.168 -1.476 2.446 Ge
1.000 -2.414 -1.908 Ge
0.960 -1.593 -6.097 Ge
-1.757 -3.644 -4.926 Ge
-1.417 -2.399 -2.648 Ir
0.960 -0.605 -3.673 Ir
0.683 -3.373 -4.323 Ir
2.145 -2.751 0.159 Ir

PBE RbMg6Sn12, relaxed; symmetry = R-3m, No. 166; energy of formation = -0.060 eV/atom
1.0
-4.601 -3.912 5.904
7.227 1.969 3.902
-3.880 7.414 -1.145
Rb Mg Sn
1 6 12
Cartesian
0.000 0.000 0.000 Rb
-2.291 -0.017 5.024 Mg
-1.991 4.712 2.081 Mg
2.647 2.438 4.188 Mg
0.737 0.758 6.580 Mg
1.038 5.487 3.636 Mg
-3.901 3.032 4.472 Mg
-5.235 0.444 5.110 Sn
-1.886 2.407 6.749 Sn
-1.712 5.157 5.038 Sn
-2.239 1.635 2.398 Sn
0.458 0.313 3.623 Sn
0.633 3.062 1.911 Sn
-0.346 7.148 1.584 Sn
3.700 0.613 6.297 Sn
3.981 5.026 3.550 Sn
-0.908 -1.678 7.077 Sn
-4.954 4.856 2.364 Sn
0.985 3.835 6.263 Sn

PBE RbNaN2F, relaxed; raw formation energy = 0.9173 eV/atom; distance to the lowest polymorph of the same formula = 1.92 eV per formula unit; symmetry = P4/mmm, No. 123
1.0
-2.856 3.746 -2.793
-3.910 -0.125 3.832
2.380 3.716 2.550
Na N Rb F
1 2 1 1
Cartesian
-2.193 3.669 1.795 Na
-1.955 -0.062 1.916 N
-1.428 1.873 -1.396 N
0.000 0.000 0.000 Rb
1.190 1.858 1.275 F

PBE LiY2P2, relaxed; distance to the lowest polymorph of the same formula = 1.56 eV per formula unit; symmetry = P4/mbm, No. 127; energy of formation = -0.836 eV/atom
1.0
-0.061 -7.728 -0.818
0.335 -0.820 7.721
-3.569 0.011 0.156
Y P Li
4 4 2
Cartesian
0.265 -3.442 6.309 Y
0.164 -7.134 4.283 Y
0.009 -5.106 0.594 Y
0.110 -1.414 2.620 Y
-1.573 -1.785 5.053 P
-1.544 -5.794 6.011 P
-1.722 -6.752 2.005 P
-1.751 -2.743 1.048 P
0.000 0.000 0.000 Li
0.137 -4.274 3.451 Li

PBE LaTaTl2, relaxed; symmetry = P2/m, No. 10; energy of formation = 0.226 eV/atom
1.0
4.374 0.000 0.000
0.000 3.241 0.012
0.000 3.191 7.064
La Ta Tl
1 1 2
Cartesian
2.187 1.608 1.769 La
2.187 4.824 5.307 Ta
0.000 3.188 6.820 Tl
0.000 3.219 3.782 Tl

PBE AcAlAg2, relaxed; symmetry = Pnma, No. 62; energy of formation = -0.281 eV/atom
1.0
6.057 0.000 0.000
0.000 7.192 0.000
0.000 0.000 8.854
Ac Al Ag
4 4 8
Cartesian
2.128 1.798 0.442 Ac
5.157 5.394 3.985 Ac
3.928 5.394 8.412 Ac
0.900 1.798 4.869 Ac
3.937 1.798 3.409 Al
0.909 5.394 1.018 Al
2.120 5.394 5.445 Al
5.148 1.798 7.836 Al
5.385 0.387 1.571 Ag
2.356 6.805 2.856 Ag
0.672 3.983 7.283 Ag
3.701 3.209 5.998 Ag
0.672 6.805 7.283 Ag
3.701 0.387 5.998 Ag
5.385 3.209 1.571 Ag
2.356 3.983 2.856 Ag

PBE SiSb2As, relaxed; raw formation energy = 0.4774 eV/atom; distance to the lowest polymorph of the same formula = 1.26 eV per formula unit; symmetry = Immm, No. 71
1.0
5.792 0.043 0.000
2.324 5.306 0.000
-3.446 -3.603 2.949
As Sb Si
1 2 1
Cartesian
1.468 2.189 1.474 As
0.006 0.004 0.000 Sb
4.052 2.671 0.000 Sb
3.202 -0.442 1.474 Si